Record 1
# Cu5Ag4 | the Open Quantum Materials Database | GGA-PBE | relaxed
data_Cu5Ag4
_chemical_formula_sum 'Cu10 Ag8'
_space_group_name_H-M_alt 'C 1 2/m 1'
_space_group_IT_number 12
_space_group_name_Hall '-C 2y'
_cell_length_a 11.6186
_cell_length_b 2.7737
_cell_length_c 8.4080
_cell_angle_alpha 90.00
_cell_angle_beta 103.80
_cell_angle_gamma 90.00
loop_
_atom_site_label
_atom_site_type_symbol
_atom_site_fract_x
_atom_site_fract_y
_atom_site_fract_z
Cu1 Cu 0.0000 0.0000 0.0000
Cu2 Cu 0.0076 0.0000 0.3244
Cu3 Cu 0.1555 0.5000 0.2157
Ag1 Ag 0.1602 0.5000 0.5560
Ag2 Ag 0.1620 0.5000 0.8866
# Energy above the most stable polymorph in this dataset, eV per formula unit: 0.50
# Energy relative to the elements, meV per atom: 95.8

=====

Record 2
# Ba2ZnIr | the Open Quantum Materials Database | GGA-PBE | relaxed
data_Ba2ZnIr
_chemical_formula_sum 'Ba8 Zn4 Ir4'
_space_group_name_H-M_alt 'F -4 3 m'
_space_group_IT_number 216
_space_group_name_Hall 'F -4 2 3'
_cell_length_a 7.5067
_cell_length_b 7.5067
_cell_length_c 7.5067
_cell_angle_alpha 90.00
_cell_angle_beta 90.00
_cell_angle_gamma 90.00
loop_
_atom_site_label
_atom_site_type_symbol
_atom_site_fract_x
_atom_site_fract_y
_atom_site_fract_z
Ba1 Ba 0.0000 0.0000 0.0000
Ba2 Ba 0.2500 0.2500 0.2500
Zn1 Zn 0.0000 0.0000 0.5000
Ir1 Ir 0.2500 0.2500 0.7500
# Total DFT energy (no corrections), eV/atom: -3.268

=====

Record 3
# NaWAu3S4 | the Open Quantum Materials Database | GGA-PBE | relaxed
data_NaWAu3S4
_chemical_formula_sum 'Na1 W1 Au3 S4'
_space_group_name_H-M_alt 'P -4 3 m'
_space_group_IT_number 215
_space_group_name_Hall 'P -4 2 3'
_cell_length_a 6.0753
_cell_length_b 6.0753
_cell_length_c 6.0753
_cell_angle_alpha 90.00
_cell_angle_beta 90.00
_cell_angle_gamma 90.00
loop_
_atom_site_label
_atom_site_type_symbol
_atom_site_fract_x
_atom_site_fract_y
_atom_site_fract_z
Na1 Na 0.0000 0.0000 0.0000
W1 W 0.5000 0.5000 0.5000
Au1 Au 0.0000 0.5000 0.5000
S1 S 0.2764 0.2764 0.2764
# Total DFT energy (no corrections), eV/atom: -4.593

=====

Record 4
# BaAuO3 | the Open Quantum Materials Database | GGA-PBE | relaxed
data_BaAuO3
_chemical_formula_sum 'Ba6 Au6 O18'
_space_group_name_H-M_alt 'R -3'
_space_group_IT_number 148
_space_group_name_Hall '-R 3'
_cell_length_a 5.9133
_cell_length_b 5.9133
_cell_length_c 16.4509
_cell_angle_alpha 90.00
_cell_angle_beta 90.00
_cell_angle_gamma 120.00
loop_
_atom_site_label
_atom_site_type_symbol
_atom_site_fract_x
_atom_site_fract_y
_atom_site_fract_z
Ba1 Ba 0.0000 0.0000 0.1281
Au1 Au 0.0000 0.0000 0.3386
O1 O 0.0121 0.6142 0.9315
# Total DFT energy (no corrections), eV/atom: -4.932

=====

Record 5
# LaGd2Al7Ag2 | the Open Quantum Materials Database | GGA-PBE | relaxed
data_LaGd2Al7Ag2
_chemical_formula_sum 'La3 Gd6 Al21 Ag6'
_space_group_name_H-M_alt 'R -3 m'
_space_group_IT_number 166
_space_group_name_Hall '-R 3 2"'
_cell_length_a 5.6175
_cell_length_b 5.6175
_cell_length_c 26.6118
_cell_angle_alpha 90.00
_cell_angle_beta 90.00
_cell_angle_gamma 120.00
loop_
_atom_site_label
_atom_site_type_symbol
_atom_site_fract_x
_atom_site_fract_y
_atom_site_fract_z
La1 La 0.0000 0.0000 0.0000
Gd1 Gd 0.0000 0.0000 0.1420
Al1 Al 0.0000 0.0000 0.5000
Al2 Al 0.0078 0.5039 0.9163
Ag1 Ag 0.0000 0.0000 0.3356
# Total DFT energy (no corrections), eV/atom: -4.328

=====

Record 6
# Y2ErTm3Sb2Os | the Open Quantum Materials Database | GGA-PBE | relaxed
data_Y2ErTm3Sb2Os
_chemical_formula_sum 'Y4 Er2 Tm6 Sb4 Os2'
_space_group_name_H-M_alt 'A m m 2'
_space_group_IT_number 38
_space_group_name_Hall 'A 2 -2'
_cell_length_a 4.2066
_cell_length_b 14.0757
_cell_length_c 8.0964
_cell_angle_alpha 90.00
_cell_angle_beta 90.00
_cell_angle_gamma 90.00
loop_
_atom_site_label
_atom_site_type_symbol
_atom_site_fract_x
_atom_site_fract_y
_atom_site_fract_z
Y1 Y 0.0000 0.1971 0.0000
Er1 Er 0.0000 0.0000 0.4124
Tm1 Tm 0.5000 0.0000 0.0363
Tm2 Tm 0.5000 0.1176 0.6848
Sb1 Sb 0.5000 0.1663 0.3030
Os1 Os 0.0000 0.0000 0.7978
# Total DFT energy (no corrections), eV/atom: -6.303

=====

Record 7
# Nb2W4Au3C3 | the Open Quantum Materials Database | GGA-PBE | relaxed
data_Nb2W4Au3C3
_chemical_formula_sum 'Nb8 W16 Au12 C12'
_space_group_name_H-M_alt 'C 1 2/c 1'
_space_group_IT_number 15
_space_group_name_Hall '-C 2yc'
_cell_length_a 9.4635
_cell_length_b 5.4664
_cell_length_c 13.8643
_cell_angle_alpha 90.00
_cell_angle_beta 103.17
_cell_angle_gamma 90.00
loop_
_atom_site_label
_atom_site_type_symbol
_atom_site_fract_x
_atom_site_fract_y
_atom_site_fract_z
Nb1 Nb 0.0508 0.0821 0.4066
W1 W 0.1097 0.4131 0.5788
W2 W 0.2254 0.4183 0.9211
Au1 Au 0.0000 0.4634 0.2500
Au2 Au 0.1902 0.1054 0.7507
C1 C 0.0824 0.2472 0.0000
C2 C 0.2500 0.2500 0.5000
# Total DFT energy (no corrections), eV/atom: -9.189

=====

Record 8
# Li2LaDySe2O2 | the Open Quantum Materials Database | GGA-PBE | relaxed
data_Li2LaDySe2O2
_chemical_formula_sum 'Li2 La1 Dy1 Se2 O2'
_space_group_name_H-M_alt 'P 4 m m'
_space_group_IT_number 99
_space_group_name_Hall 'P 4 -2'
_cell_length_a 3.9945
_cell_length_b 3.9945
_cell_length_c 8.9859
_cell_angle_alpha 90.00
_cell_angle_beta 90.00
_cell_angle_gamma 90.00
loop_
_atom_site_label
_atom_site_type_symbol
_atom_site_fract_x
_atom_site_fract_y
_atom_site_fract_z
Li1 Li 0.0000 0.5000 0.0000
La1 La 0.0000 0.0000 0.6293
Dy1 Dy 0.5000 0.5000 0.3707
Se1 Se 0.0000 0.0000 0.1730
Se2 Se 0.5000 0.5000 0.8228
O1 O 0.0000 0.5000 0.4886
# Total DFT energy (no corrections), eV/atom: -6.194

=====

Record 9
# PrSmB2Pt8 | the Open Quantum Materials Database | GGA-PBE | relaxed
data_PrSmB2Pt8
_chemical_formula_sum 'Pr1 Sm1 B2 Pt8'
_space_group_name_H-M_alt 'P 6/m m m'
_space_group_IT_number 191
_space_group_name_Hall '-P 6 2'
_cell_length_a 5.4961
_cell_length_b 5.4961
_cell_length_c 7.6938
_cell_angle_alpha 90.00
_cell_angle_beta 90.00
_cell_angle_gamma 120.00
loop_
_atom_site_label
_atom_site_type_symbol
_atom_site_fract_x
_atom_site_fract_y
_atom_site_fract_z
Pr1 Pr 0.0000 0.0000 0.0000
Sm1 Sm 0.0000 0.0000 0.5000
B1 B 0.3333 0.6667 0.0000
Pt1 Pt 0.0000 0.5000 0.1998
Pt2 Pt 0.3333 0.6667 0.5000
# Energy above the most stable polymorph in this dataset, eV per formula unit: 0.26

=====

Record 10
# SmTmGe | the Open Quantum Materials Database | GGA-PBE | relaxed
data_SmTmGe
_chemical_formula_sum 'Sm4 Tm4 Ge4'
_space_group_name_H-M_alt 'F -4 3 m'
_space_group_IT_number 216
_space_group_name_Hall 'F -4 2 3'
_cell_length_a 6.9306
_cell_length_b 6.9306
_cell_length_c 6.9306
_cell_angle_alpha 90.00
_cell_angle_beta 90.00
_cell_angle_gamma 90.00
loop_
_atom_site_label
_atom_site_type_symbol
_atom_site_fract_x
_atom_site_fract_y
_atom_site_fract_z
Sm1 Sm 0.0000 0.0000 0.0000
Tm1 Tm 0.0000 0.0000 0.5000
Ge1 Ge 0.2500 0.2500 0.2500
# Total DFT energy (no corrections), eV/atom: -5.122

=====

Record 11
# FeBMoIr | the Open Quantum Materials Database | GGA-PBE | relaxed
data_FeBMoIr
_chemical_formula_sum 'Fe4 B4 Mo4 Ir4'
_space_group_name_H-M_alt 'F -4 3 m'
_space_group_IT_number 216
_space_group_name_Hall 'F -4 2 3'
_cell_length_a 5.8383
_cell_length_b 5.8383
_cell_length_c 5.8383
_cell_angle_alpha 90.00
_cell_angle_beta 90.00
_cell_angle_gamma 90.00
loop_
_atom_site_label
_atom_site_type_symbol
_atom_site_fract_x
_atom_site_fract_y
_atom_site_fract_z
Fe1 Fe 0.0000 0.0000 0.0000
B1 B 0.2500 0.2500 0.7500
Mo1 Mo 0.2500 0.2500 0.2500
Ir1 Ir 0.0000 0.0000 0.5000
# Energy above the most stable polymorph in this dataset, eV per formula unit: 0.00

=====

Record 12
# Dy2TmIn3Cu2Pt | the Open Quantum Materials Database | GGA-PBE | relaxed
data_Dy2TmIn3Cu2Pt
_chemical_formula_sum 'Dy4 Tm2 In6 Cu4 Pt2'
_space_group_name_H-M_alt 'A m m 2'
_space_group_IT_number 38
_space_group_name_Hall 'A 2 -2'
_cell_length_a 3.9515
_cell_length_b 12.9954
_cell_length_c 7.5027
_cell_angle_alpha 90.00
_cell_angle_beta 90.00
_cell_angle_gamma 90.00
loop_
_atom_site_label
_atom_site_type_symbol
_atom_site_fract_x
_atom_site_fract_y
_atom_site_fract_z
Dy1 Dy 0.0000 0.2021 0.0000
Tm1 Tm 0.0000 0.0000 0.3945
In1 In 0.5000 0.0000 0.0625
In2 In 0.5000 0.1322 0.6647
Cu1 Cu 0.5000 0.1652 0.2980
Pt1 Pt 0.0000 0.0000 0.7955
# Total DFT energy (no corrections), eV/atom: -4.509